*P*
Density functional theory data (PBE) for an optimized crystal structure of TlGa2W.

V: 21.7 Å³/atom
magnetic moment: 0.0 μB/f.u.
DOS at the Fermi energy: 5.4 states/eV per cell
space-group type: No. 122

POSCAR file:
```
TlGa2W
1.0
7.830 0.000 0.000
0.000 7.830 0.000
0.000 0.000 5.659
Tl Ga W
4 8 4
Cartesian
0.000 0.000 0.000
0.000 3.915 1.415
3.915 0.000 4.244
3.915 3.915 2.829
1.502 1.957 3.537
1.957 5.417 4.952
1.957 6.327 2.122
2.412 1.957 0.707
5.417 5.872 0.707
5.872 1.502 2.122
5.872 2.412 4.952
6.327 5.872 3.537
0.000 0.000 2.829
0.000 3.915 4.244
3.915 0.000 1.415
3.915 3.915 0.000
```



*Q*
Density functional theory data (PBE) for an optimized crystal structure of TlGa2W.

V: 18.7 Å³/atom
magnetic moment: 0.0 μB/f.u.
DOS at the Fermi energy: 20.1 states/eV per cell
space-group type: No. 225

POSCAR file:
```
TlGa2W
1.0
6.693 0.000 0.000
0.000 6.693 0.000
0.000 0.000 6.693
Tl Ga W
4 8 4
Cartesian
0.000 0.000 0.000
0.000 3.346 3.346
3.346 0.000 3.346
3.346 3.346 0.000
1.673 1.673 1.673
1.673 1.673 5.019
1.673 5.019 1.673
1.673 5.019 5.019
5.019 1.673 1.673
5.019 1.673 5.019
5.019 5.019 1.673
5.019 5.019 5.019
0.000 0.000 3.346
0.000 3.346 0.000
3.346 0.000 0.000
3.346 3.346 3.346
```



Energies relative to the most stable structure, in meV/atom: *P* 0; *Q* 130.